[1]
Here is a relaxed K2Cd3Hg5 crystal from the Alexandria database. Energies are from PBE-GGA.

mass density	7.71	Mg/m³
excess energy over the best structure of this formula in the dataset	0.00	eV/f.u.
magnetic moment	0.0	μB per formula unit
space-group type	Ibam
DOS(E_F)	7.47	states/eV per cell
E_form	-0.16	eV per atom

```
data_K2Cd3Hg5
_chemical_formula_sum 'K4 Cd6 Hg10'
_space_group_name_H-M_alt 'P 1'
_space_group_IT_number 1
_space_group_name_Hall 'P 1'
_cell_length_a 7.1158
_cell_length_b 10.0190
_cell_length_c 10.0190
_cell_angle_alpha 72.16
_cell_angle_beta 69.20
_cell_angle_gamma 69.20
loop_
_atom_site_label
_atom_site_fract_x
_atom_site_fract_y
_atom_site_fract_z
_atom_site_occupancy
Hg1 0.1020 0.0617 0.7342 1
Cd1 0.1429 0.2597 0.4546 1
K1 0.3664 0.8632 0.4040 1
Hg2 0.5366 0.2134 0.2134 1
K2 0.6336 0.1368 0.5960 1
Hg3 0.9634 0.7866 0.7866 1
Cd2 0.6429 0.4546 0.2597 1
K3 0.8664 0.4040 0.8632 1
Hg4 0.3980 0.2658 0.9383 1
Cd3 0.3571 0.5454 0.7403 1
Cd4 0.7500 0.0000 0.0000 1
Hg5 0.7500 0.5000 0.5000 1
Cd5 0.2500 0.0000 0.0000 1
Hg6 0.4634 0.7866 0.7866 1
K4 0.1336 0.5960 0.1368 1
Hg7 0.8980 0.9383 0.2658 1
Hg8 0.6020 0.7342 0.0617 1
Hg9 0.0366 0.2134 0.2134 1
Cd6 0.8571 0.7403 0.5454 1
Hg10 0.2500 0.5000 0.5000 1
```

=====

[2]
Here is a relaxed CaTeMo2 crystal from the Alexandria database. Energies are from PBE-GGA.

mass density	7.19	Mg/m³
magnetic moment	0.0	μB per formula unit
space-group type	C2/m
DOS(E_F)	4.73	states/eV per cell
E	-6.08	eV/atom

```
data_CaTeMo2
_chemical_formula_sum 'Ca1 Te1 Mo2'
_space_group_name_H-M_alt 'P 1'
_space_group_IT_number 1
_space_group_name_Hall 'P 1'
_cell_length_a 4.6077
_cell_length_b 5.9996
_cell_length_c 3.4129
_cell_angle_alpha 73.70
_cell_angle_beta 89.44
_cell_angle_gamma 112.41
loop_
_atom_site_label
_atom_site_fract_x
_atom_site_fract_y
_atom_site_fract_z
_atom_site_occupancy
Mo1 0.5000 0.0000 0.5000 1
Te1 0.0000 0.5000 0.5000 1
Mo2 0.0000 0.0000 0.0000 1
Ca1 0.5000 0.5000 0.0000 1
```

=====

[3]
Here is a relaxed PrNd2SmTm2 crystal from the Alexandria database. Energies are from PBE-GGA.

mass density	7.62	Mg/m³
magnetic moment	0.0	μB per formula unit
space-group type	Pnnm
DOS(E_F)	18.82	states/eV per cell
E_form	0.07	eV per atom

```
data_PrNd2SmTm2
_chemical_formula_sum 'Pr2 Nd4 Sm2 Tm4'
_space_group_name_H-M_alt 'P 1'
_space_group_IT_number 1
_space_group_name_Hall 'P 1'
_cell_length_a 5.7206
_cell_length_b 9.9085
_cell_length_c 7.0573
_cell_angle_alpha 90.00
_cell_angle_beta 90.00
_cell_angle_gamma 90.00
loop_
_atom_site_label
_atom_site_fract_x
_atom_site_fract_y
_atom_site_fract_z
_atom_site_occupancy
Tm1 0.5000 0.1665 0.2498 1
Tm2 0.0000 0.3335 0.7498 1
Nd1 0.0000 0.6669 0.7511 1
Tm3 0.5000 0.8335 0.7502 1
Nd2 0.5000 0.8332 0.2511 1
Pr1 0.5000 0.5000 0.5000 1
Nd3 0.5000 0.1668 0.7489 1
Sm1 0.5000 0.5000 0.0000 1
Tm4 0.0000 0.6665 0.2502 1
Pr2 0.0000 0.0000 0.0000 1
Nd4 0.0000 0.3332 0.2489 1
Sm2 0.0000 0.0000 0.5000 1
```

=====

[4]
Here is a relaxed NaEr2Tl crystal from the Alexandria database. Energies are from PBE-GGA.

mass density	8.50	Mg/m³
excess energy over the best structure of this formula in the dataset	0.02	eV/f.u.
magnetic moment	0.0	μB per formula unit
space-group type	P4/mmm
DOS(E_F)	2.00	states/eV per cell
E_form	-0.02	eV per atom

```
data_NaEr2Tl
_chemical_formula_sum 'Na1 Er2 Tl1'
_space_group_name_H-M_alt 'P 1'
_space_group_IT_number 1
_space_group_name_Hall 'P 1'
_cell_length_a 4.3125
_cell_length_b 5.0449
_cell_length_c 5.0449
_cell_angle_alpha 90.00
_cell_angle_beta 90.00
_cell_angle_gamma 90.00
loop_
_atom_site_label
_atom_site_fract_x
_atom_site_fract_y
_atom_site_fract_z
_atom_site_occupancy
Tl1 0.5000 0.5000 0.5000 1
Na1 0.5000 0.0000 0.0000 1
Er1 0.0000 0.5000 0.0000 1
Er2 0.0000 0.0000 0.5000 1
```

=====

[5]
Here is a relaxed Nd2Sm6Ho3Sc crystal from the Alexandria database. Energies are from PBE-GGA.

mass density	7.38	Mg/m³
magnetic moment	0.0	μB per formula unit
space-group type	C2/m
DOS(E_F)	15.59	states/eV per cell
E_form	0.03	eV per atom

```
data_Nd2Sm6Ho3Sc
_chemical_formula_sum 'Nd2 Sm6 Ho3 Sc1'
_space_group_name_H-M_alt 'P 1'
_space_group_IT_number 1
_space_group_name_Hall 'P 1'
_cell_length_a 6.2050
_cell_length_b 6.2050
_cell_length_c 11.8557
_cell_angle_alpha 95.01
_cell_angle_beta 95.01
_cell_angle_gamma 119.99
loop_
_atom_site_label
_atom_site_fract_x
_atom_site_fract_y
_atom_site_fract_z
_atom_site_occupancy
Sm1 0.7533 0.7533 0.2515 1
Sm2 0.0832 0.4128 0.2510 1
Nd1 0.6666 0.3334 0.0000 1
Ho1 0.8338 0.1662 0.5000 1
Nd2 0.3334 0.6666 0.0000 1
Sc1 0.0000 0.0000 0.0000 1
Ho2 0.1662 0.8338 0.5000 1
Ho3 0.5000 0.5000 0.5000 1
Sm3 0.4128 0.0832 0.2510 1
Sm4 0.5872 0.9168 0.7490 1
Sm5 0.9168 0.5872 0.7490 1
Sm6 0.2467 0.2467 0.7485 1
```

=====

[6]
Here is a relaxed CaZnRu2 crystal from the Alexandria database. Energies are from PBE-GGA.

mass density	7.48	Mg/m³
magnetic moment	0.1	μB per formula unit
space-group type	Imm2
DOS(E_F)	3.88	states/eV per cell
E_form	0.26	eV per atom

```
data_CaZnRu2
_chemical_formula_sum 'Ca1 Zn1 Ru2'
_space_group_name_H-M_alt 'P 1'
_space_group_IT_number 1
_space_group_name_Hall 'P 1'
_cell_length_a 5.6173
_cell_length_b 5.6173
_cell_length_c 5.6173
_cell_angle_alpha 149.33
_cell_angle_beta 130.44
_cell_angle_gamma 59.41
loop_
_atom_site_label
_atom_site_fract_x
_atom_site_fract_y
_atom_site_fract_z
_atom_site_occupancy
Zn1 0.5267 0.5267 0.0000 1
Ca1 0.2442 0.7442 0.5000 1
Ru1 0.7571 0.2571 0.5000 1
Ru2 0.9720 0.9720 0.0000 1
```